VASP calculation (GGA-PBE) on a relaxed NdHgH crystal.

a = 3.383 Å, b = 3.383 Å, c = 6.028 Å
α = 106.30°, β = 106.30°, γ = 90.00°
Fractional positions:
Hg 0.011 0.011 0.022
Nd 0.722 0.722 0.443
H 0.267 0.267 0.534

Output
Density of states at the Fermi level: 2.36 states/eV/cell
Calculated total energy: -2.98 eV per atom
V: 21.11 A^3/atom
SG: I4mm
Energy relative to the lowest polymorph listed for this composition: 343 meV per atom

***

VASP calculation (GGA-PBE) on a relaxed Nd3HgH crystal.

a = 3.750 Å, b = 7.072 Å, c = 10.020 Å
α = 100.62°, β = 90.00°, γ = 90.00°
Fractional positions:
Hg 0.750 0.713 0.824
Hg 0.250 0.287 0.176
Nd 0.250 0.776 0.087
Nd 0.250 0.909 0.626
Nd 0.750 0.600 0.359
Nd 0.750 0.224 0.913
Nd 0.750 0.091 0.374
Nd 0.250 0.400 0.641
H 0.750 0.162 0.647
H 0.250 0.838 0.353

Output
Density of states at the Fermi level: 8.08 states/eV/cell
Calculated total energy: -3.88 eV per atom
V: 26.12 A^3/atom
SG: P2_1/m
Energy relative to the lowest polymorph listed for this composition: 37 meV per atom

***

VASP calculation (GGA-PBE) on a relaxed Nd2HgH crystal.

a = 6.958 Å, b = 6.896 Å, c = 7.999 Å
α = 90.00°, β = 95.93°, γ = 90.00°
Fractional positions:
Hg 0.080 0.058 0.330
Hg 0.920 0.942 0.670
Hg 0.920 0.558 0.170
Hg 0.080 0.442 0.830
H 0.529 0.334 0.916
H 0.471 0.834 0.584
H 0.529 0.166 0.416
H 0.471 0.666 0.084
Nd 0.620 0.852 0.325
Nd 0.620 0.648 0.825
Nd 0.799 0.344 0.495
Nd 0.201 0.844 0.005
Nd 0.380 0.148 0.675
Nd 0.799 0.156 0.995
Nd 0.201 0.656 0.505
Nd 0.380 0.352 0.175

Output
Density of states at the Fermi level: 11.49 states/eV/cell
Calculated total energy: -3.70 eV per atom
V: 23.86 A^3/atom
SG: P2_1/c
Energy relative to the lowest polymorph listed for this composition: 0 meV per atom

***

VASP calculation (GGA-PBE) on a relaxed Nd12Hg3H5 crystal.

a = 13.934 Å, b = 13.934 Å, c = 13.934 Å
α = 109.47°, β = 109.47°, γ = 109.47°
Fractional positions:
Nd 0.308 0.794 0.402
Nd 0.794 0.308 0.902
Nd 0.206 0.692 0.098
Nd 0.206 0.514 0.609
Nd 0.192 0.098 0.706
Nd 0.706 0.109 0.014
Nd 0.595 0.986 0.692
Nd 0.402 0.109 0.595
Nd 0.514 0.308 0.905
Nd 0.014 0.609 0.706
Nd 0.405 0.014 0.308
Nd 0.391 0.405 0.098
Nd 0.402 0.294 0.308
Nd 0.486 0.692 0.095
Nd 0.391 0.986 0.794
Nd 0.095 0.902 0.109
Nd 0.294 0.402 0.808
Nd 0.905 0.808 0.514
Nd 0.692 0.206 0.598
Nd 0.486 0.794 0.891
Nd 0.109 0.706 0.514
Nd 0.609 0.014 0.206
Nd 0.794 0.486 0.391
Nd 0.706 0.598 0.192
Nd 0.905 0.098 0.891
Nd 0.692 0.486 0.595
Nd 0.109 0.402 0.095
Nd 0.014 0.405 0.808
Nd 0.098 0.905 0.391
Nd 0.192 0.095 0.986
Nd 0.514 0.206 0.109
Nd 0.308 0.514 0.405
Nd 0.986 0.595 0.192
Nd 0.986 0.391 0.294
Nd 0.598 0.891 0.405
Nd 0.609 0.595 0.902
Nd 0.891 0.294 0.486
Nd 0.598 0.706 0.692
Nd 0.891 0.598 0.905
Nd 0.902 0.095 0.609
Nd 0.595 0.609 0.402
Nd 0.902 0.808 0.794
Nd 0.294 0.891 0.986
Nd 0.095 0.192 0.486
Nd 0.405 0.391 0.598
Nd 0.098 0.192 0.206
Nd 0.808 0.902 0.294
Nd 0.808 0.905 0.014
H 0.250 0.875 0.125
H 0.000 0.500 0.500
H 0.375 0.125 0.750
H 0.125 0.750 0.375
H 0.000 0.500 0.000
H 0.625 0.750 0.875
H 0.000 0.000 0.500
H 0.500 0.000 0.000
H 0.250 0.375 0.625
H 0.750 0.625 0.375
H 0.875 0.625 0.750
H 0.500 0.500 0.500
H 0.000 0.000 0.000
H 0.750 0.125 0.875
H 0.625 0.875 0.250
H 0.500 0.500 0.000
H 0.125 0.375 0.250
H 0.500 0.000 0.500
H 0.375 0.250 0.125
H 0.875 0.250 0.625
Hg 0.375 0.750 0.625
Hg 0.125 0.875 0.750
Hg 0.625 0.375 0.750
Hg 0.125 0.250 0.875
Hg 0.750 0.875 0.625
Hg 0.875 0.125 0.250
Hg 0.375 0.625 0.250
Hg 0.250 0.125 0.375
Hg 0.625 0.250 0.375
Hg 0.250 0.625 0.875
Hg 0.750 0.375 0.125
Hg 0.875 0.750 0.125

Output
Density of states at the Fermi level: 84.91 states/eV/cell
Calculated total energy: -4.00 eV per atom
V: 26.03 A^3/atom
SG: Ia-3d

***

VASP calculation (GGA-PBE) on a relaxed NdHgH crystal.

a = 3.962 Å, b = 3.962 Å, c = 4.758 Å
α = 90.00°, β = 90.00°, γ = 120.00°
Fractional positions:
Hg 0.000 0.000 0.000
H 0.333 0.667 0.500
Nd 0.667 0.333 0.500

Output
Density of states at the Fermi level: 2.47 states/eV/cell
Calculated total energy: -3.18 eV per atom
V: 21.56 A^3/atom
SG: P-6m2
Energy relative to the lowest polymorph listed for this composition: 149 meV per atom

***

VASP calculation (GGA-PBE) on a relaxed Nd2HgH crystal.

a = 3.739 Å, b = 3.739 Å, c = 8.146 Å
α = 76.73°, β = 76.73°, γ = 60.00°
Fractional positions:
Nd 0.772 0.772 0.683
Nd 0.228 0.228 0.317
H 0.500 0.500 0.500
Hg 0.000 0.000 0.000

Output
Density of states at the Fermi level: 3.95 states/eV/cell
Calculated total energy: -3.62 eV per atom
V: 23.78 A^3/atom
SG: R-3m
Energy relative to the lowest polymorph listed for this composition: 84 meV per atom

***

VASP calculation (GGA-PBE) on a relaxed Nd6Hg3H crystal.

a = 6.610 Å, b = 8.379 Å, c = 10.363 Å
α = 90.00°, β = 86.06°, γ = 90.00°
Fractional positions:
Hg 0.094 0.614 0.231
Hg 0.406 0.114 0.269
Hg 0.500 0.500 0.000
Hg 0.906 0.386 0.769
Hg 0.000 0.000 0.500
Hg 0.594 0.886 0.731
Nd 0.151 0.354 0.451
Nd 0.664 0.440 0.268
Nd 0.336 0.560 0.732
Nd 0.849 0.646 0.549
Nd 0.164 0.060 0.768
Nd 0.349 0.854 0.049
Nd 0.836 0.940 0.232
Nd 0.887 0.716 0.936
Nd 0.613 0.216 0.564
Nd 0.651 0.146 0.951
Nd 0.387 0.784 0.436
Nd 0.113 0.284 0.064
H 0.000 0.000 0.000
H 0.500 0.500 0.500

Output
Density of states at the Fermi level: 20.97 states/eV/cell
Calculated total energy: -3.55 eV per atom
V: 28.63 A^3/atom
SG: P2_1/c

***

VASP calculation (GGA-PBE) on a relaxed Nd2HgH crystal.

a = 3.772 Å, b = 3.772 Å, c = 8.016 Å
α = 76.39°, β = 76.39°, γ = 60.00°
Fractional positions:
H 0.667 0.667 0.000
Hg 0.500 0.500 0.501
Nd 0.061 0.061 0.816
Nd 0.272 0.272 0.183

Output
Density of states at the Fermi level: 2.93 states/eV/cell
Calculated total energy: -3.62 eV per atom
V: 23.76 A^3/atom
SG: R3m
Energy relative to the lowest polymorph listed for this composition: 83 meV per atom